# CaY3Sc | Alexandria via LeMat-Bulk | SCAN | PBEsol geometry
# Calculated formation energy in kcal/mol of atoms: 22.073
# Total energy in eV/cell: -102.6
data_CaY3Sc
_cell_length_a 5.437
_cell_length_b 5.437
_cell_length_c 5.437
_cell_angle_alpha 90.00
_cell_angle_beta 90.00
_cell_angle_gamma 90.00
_symmetry_space_group_name_H-M 'P 1'
_symmetry_Int_Tables_number 1
loop_
_symmetry_equiv_pos_as_xyz
'x,y,z'
loop_
_atom_site_label
_atom_site_fract_x
_atom_site_fract_y
_atom_site_fract_z
Y1 0.000 0.000 0.500
Y2 0.500 0.000 0.000
Y3 0.000 0.500 0.000
Ca1 0.000 0.000 0.000
Sc1 0.500 0.500 0.500